Computed, not measured: Mg2Cu2P2H12O15 at its PBEsol-relaxed geometry at the SCAN level of DFT.

D(E_F) ... 0.000 states/eV per atom
Energy ... -7.575 eV/atom
Calculated volume ... 1138.3 Å³/cell

Cell: 22.016 5.034 10.455 Å, 90.00 100.77 90.00°
Space group C2/c (No. 15)
Symmetry-distinct sites (fractional):
Mg: 0.118 0.153 0.464 [8 per cell]
Cu: 0.246 0.146 0.368 [8 per cell]
P: 0.155 0.331 0.772 [8 per cell]
H: 0.009 0.210 0.070 [8 per cell]
H: 0.017 0.443 0.356 [8 per cell]
H: 0.038 0.207 0.767 [8 per cell]
H: 0.095 0.063 0.171 [8 per cell]
H: 0.106 0.322 0.091 [8 per cell]
H: 0.232 0.100 0.075 [8 per cell]
O: 0.000 0.319 0.750 [4 per cell]
O: 0.030 0.281 0.410 [8 per cell]
O: 0.087 0.137 0.080 [8 per cell]
O: 0.113 0.109 0.809 [8 per cell]
O: 0.136 0.399 0.626 [8 per cell]
O: 0.156 0.424 0.356 [8 per cell]
O: 0.214 0.055 0.523 [8 per cell]
O: 0.224 0.214 0.789 [8 per cell]

***

Computed, not measured: ScBe2Ni at its PBEsol-relaxed geometry at the SCAN level of DFT.

D(E_F) ... 0.343 states/eV per atom
Energy above the lowest structure with this stoichiometry ... 0.108 eV/atom
Calculated volume ... 182.4 Å³/cell
Formation energy ... -216 meV/atom

Cell: 5.672 5.672 5.672 Å, 90.00 90.00 90.00°
Space group Fm-3m (No. 225)
Symmetry-distinct sites (fractional):
Sc: 0.000 0.000 0.000 [4 per cell]
Be: 0.250 0.250 0.250 [8 per cell]
Ni: 0.000 0.000 0.500 [4 per cell]

***

Computed, not measured: HfFe2WI at its PBEsol-relaxed geometry at the SCAN level of DFT.

D(E_F) ... 1.438 states/eV per atom
Energy ... -39.358 eV/atom
Calculated volume ... 101.1 Å³/cell

Cell: 4.430 4.430 5.154 Å, 90.00 90.00 90.00°
Space group P4/mmm (No. 123)
Symmetry-distinct sites (fractional):
Hf: 0.000 0.000 0.000 [1 per cell]
Fe: 0.000 0.500 0.500 [2 per cell]
W: 0.500 0.500 0.500 [1 per cell]
I: 0.500 0.500 0.000 [1 per cell]

***

Computed, not measured: AsF3 at its PBEsol-relaxed geometry at the SCAN level of DFT.

D(E_F) ... 0.000 states/eV per atom
Energy ... -9.893 eV/atom
Calculated volume ... 269.3 Å³/cell

Cell: 7.443 6.405 5.649 Å, 90.00 90.00 90.00°
Space group Pnma (No. 62)
Symmetry-distinct sites (fractional):
As: 0.245 0.250 0.169 [4 per cell]
F: 0.041 0.750 0.531 [4 per cell]
F: 0.187 0.550 0.870 [8 per cell]

***

Computed, not measured: TcIr2Rh at its PBEsol-relaxed geometry at the SCAN level of DFT.

D(E_F) ... 0.806 states/eV per atom
Energy above the lowest structure with this stoichiometry ... 0.088 eV/atom
Calculated volume ... 166.2 Å³/cell
Formation energy ... -90 meV/atom

Cell: 2.6899 2.6899 26.5276 Å, 90.00 90.00 120.00°
Space group R3m (No. 160, hexagonal axes)
Symmetry-distinct sites (fractional):
Tc: 0.0000 0.0000 0.0000 [3 per cell]
Ir: 0.0000 0.0000 0.2513 [3 per cell]
Ir: 0.0000 0.0000 0.4996 [3 per cell]
Rh: 0.0000 0.0000 0.7485 [3 per cell]

***

Computed, not measured: HgBiTeAs2 at its PBEsol-relaxed geometry at the SCAN level of DFT.

D(E_F) ... 0.846 states/eV per atom
Energy ... -43.953 eV/atom
Calculated volume ... 161.2 Å³/cell

Cell: 5.452 5.452 5.425 Å, 90.00 90.00 90.00°
Space group P4/mmm (No. 123)
Symmetry-distinct sites (fractional):
Hg: 0.000 0.000 0.000 [1 per cell]
Bi: 0.000 0.000 0.500 [1 per cell]
Te: 0.500 0.500 0.000 [1 per cell]
As: 0.000 0.500 0.500 [2 per cell]

***

Computed, not measured: SrCa3 at its PBEsol-relaxed geometry at the SCAN level of DFT.

D(E_F) ... 1.161 states/eV per atom
Energy above the lowest structure with this stoichiometry ... 0.036 eV/atom
Calculated volume ... 682.5 Å³/cell
Formation energy ... 47 meV/atom

Cell: 8.804 8.804 8.804 Å, 90.00 90.00 90.00°
Space group Fm-3m (No. 225)
Symmetry-distinct sites (fractional):
Sr: 0.000 0.000 0.000 [4 per cell]
Ca: 0.000 0.000 0.500 [4 per cell]
Ca: 0.250 0.250 0.250 [8 per cell]

***

Computed, not measured: HfNiHgO2 at its PBEsol-relaxed geometry at the SCAN level of DFT.

D(E_F) ... 0.328 states/eV per atom
Energy ... -32.045 eV/atom
Calculated volume ... 70.9 Å³/cell

Cell: 3.871 3.871 4.732 Å, 90.00 90.00 90.00°
Space group P4/mmm (No. 123)
Symmetry-distinct sites (fractional):
Hf: 0.000 0.000 0.000 [1 per cell]
Ni: 0.000 0.000 0.500 [1 per cell]
Hg: 0.500 0.500 0.000 [1 per cell]
O: 0.000 0.500 0.500 [2 per cell]

***

Computed, not measured: MnSn3I at its PBEsol-relaxed geometry at the SCAN level of DFT.

D(E_F) ... 0.038 states/eV per atom
Energy ... -32.519 eV/atom
Calculated volume ... 124.8 Å³/cell

Cell: 4.997 4.997 4.997 Å, 90.00 90.00 90.00°
Space group Pm-3m (No. 221)
Symmetry-distinct sites (fractional):
Mn: 0.000 0.000 0.000 [1 per cell]
Sn: 0.000 0.000 0.500 [3 per cell]
I: 0.500 0.500 0.500 [1 per cell]

***

Computed, not measured: Ca2SnS4 at its PBEsol-relaxed geometry at the SCAN level of DFT.

Energy above the lowest structure with this stoichiometry ... 0.064 eV/atom
Calculated volume ... 451.7 Å³/cell

Cell: 11.5870 11.5870 3.8846 Å, 90.00 90.00 120.00°
Space group P-62m (No. 189)
Symmetry-distinct sites (fractional):
Ca: 0.0000 0.0000 0.0000 [1 per cell]
Ca: 0.0000 0.2901 0.5000 [3 per cell]
Ca: 0.3333 0.6667 0.5000 [2 per cell]
Sn: 0.0000 0.6591 0.0000 [3 per cell]
S: 0.0000 0.5225 0.5000 [3 per cell]
S: 0.0000 0.8263 0.5000 [3 per cell]
S: 0.1989 0.4448 0.0000 [6 per cell]

***

Computed, not measured: YGeAsSe2 at its PBEsol-relaxed geometry at the SCAN level of DFT.

D(E_F) ... 0.393 states/eV per atom
Energy ... -21.763 eV/atom
Calculated volume ... 116.9 Å³/cell

Cell: 4.923 4.923 4.824 Å, 90.00 90.00 90.00°
Space group P4/mmm (No. 123)
Symmetry-distinct sites (fractional):
Y: 0.000 0.000 0.000 [1 per cell]
Ge: 0.500 0.500 0.500 [1 per cell]
As: 0.500 0.500 0.000 [1 per cell]
Se: 0.000 0.500 0.500 [2 per cell]

***

Computed, not measured: NaGa3 at its PBEsol-relaxed geometry at the SCAN level of DFT.

D(E_F) ... 0.342 states/eV per atom
Calculated volume ... 73.8 Å³/cell
Formation energy ... -28 meV/atom

Cell: 4.194 4.194 4.194 Å, 90.00 90.00 90.00°
Space group Pm-3m (No. 221)
Symmetry-distinct sites (fractional):
Na: 0.000 0.000 0.000 [1 per cell]
Ga: 0.000 0.500 0.500 [3 per cell]

***

Computed, not measured: DyLuCu2 at its PBEsol-relaxed geometry at the SCAN level of DFT.

D(E_F) ... 0.494 states/eV per atom
Calculated volume ... 305.0 Å³/cell
Formation energy ... -335 meV/atom

Cell: 6.731 6.731 6.731 Å, 90.00 90.00 90.00°
Space group Fm-3m (No. 225)
Symmetry-distinct sites (fractional):
Dy: 0.000 0.000 0.000 [4 per cell]
Lu: 0.000 0.000 0.500 [4 per cell]
Cu: 0.250 0.250 0.250 [8 per cell]

***

Computed, not measured: AgPPb at its PBEsol-relaxed geometry at the SCAN level of DFT.

D(E_F) ... 0.173 states/eV per atom
Energy above the lowest structure with this stoichiometry ... 0.000 eV/atom
Calculated volume ... 65.4 Å³/cell
Formation energy ... 143 meV/atom

Cell: 4.2405 4.2405 4.2004 Å, 90.00 90.00 120.00°
Space group P-6m2 (No. 187)
Symmetry-distinct sites (fractional):
Ag: 0.0000 0.0000 0.0000 [1 per cell]
P: 0.3333 0.6667 0.0000 [1 per cell]
Pb: 0.6667 0.3333 0.5000 [1 per cell]

***

Computed, not measured: Dy3Ge4 at its PBEsol-relaxed geometry at the SCAN level of DFT.

D(E_F) ... 0.296 states/eV per atom
Calculated volume ... 593.5 Å³/cell
Formation energy ... -871 meV/atom

Cell: 3.996 10.557 14.070 Å, 90.00 90.00 90.00°
Space group Cmcm (No. 63)
Symmetry-distinct sites (fractional):
Dy: 0.000 0.042 0.250 [4 per cell]
Dy: 0.000 0.328 0.097 [8 per cell]
Ge: 0.000 0.000 0.000 [4 per cell]
Ge: 0.000 0.229 0.750 [4 per cell]
Ge: 0.000 0.383 0.608 [8 per cell]

***

Computed, not measured: MgTl2In at its PBEsol-relaxed geometry at the SCAN level of DFT.

D(E_F) ... 0.388 states/eV per atom
Calculated volume ... 208.3 Å³/cell
Formation energy ... 14 meV/atom

Cell: 6.508 10.326 3.378 Å, 90.00 113.44 90.00°
Space group C2/m (No. 12)
Symmetry-distinct sites (fractional):
Mg: 0.000 0.000 0.000 [2 per cell]
Tl: 0.250 0.250 0.500 [4 per cell]
In: 0.000 0.500 0.000 [2 per cell]

***

Computed, not measured: La3MnGaS7 at its PBEsol-relaxed geometry at the SCAN level of DFT.

Energy ... -21.234 eV/atom
Calculated volume ... 527.3 Å³/cell

Cell: 10.1183 10.1183 5.9469 Å, 90.00 90.00 120.00°
Space group P6_3 (No. 173)
Symmetry-distinct sites (fractional):
La: 0.1408 0.7669 0.0000 [6 per cell]
Mn: 0.0000 0.0000 0.2699 [2 per cell]
Ga: 0.3333 0.6667 0.4170 [2 per cell]
S: 0.0897 0.8540 0.5313 [6 per cell]
S: 0.0960 0.5165 0.2697 [6 per cell]
S: 0.3333 0.6667 0.7915 [2 per cell]

***

Computed, not measured: HgPIr3 at its PBEsol-relaxed geometry at the SCAN level of DFT.

D(E_F) ... 1.069 states/eV per atom
Calculated volume ... 113.2 Å³/cell
Formation energy ... 2978 meV/atom

Cell: 4.838 4.838 4.838 Å, 90.00 90.00 90.00°
Space group Pm-3m (No. 221)
Symmetry-distinct sites (fractional):
Hg: 0.000 0.000 0.000 [1 per cell]
P: 0.500 0.500 0.500 [1 per cell]
Ir: 0.000 0.000 0.500 [3 per cell]

***

Computed, not measured: KIn2Bi2 at its PBEsol-relaxed geometry at the SCAN level of DFT.

D(E_F) ... 0.338 states/eV per atom
Calculated volume ... 332.3 Å³/cell
Formation energy ... -240 meV/atom

Cell: 5.466 5.466 11.120 Å, 90.00 90.00 90.00°
Space group I4/mmm (No. 139)
Symmetry-distinct sites (fractional):
K: 0.000 0.000 0.000 [2 per cell]
In: 0.000 0.000 0.374 [4 per cell]
Bi: 0.000 0.500 0.250 [4 per cell]

***

Computed, not measured: MnCrAu2N at its PBEsol-relaxed geometry at the SCAN level of DFT.

D(E_F) ... 0.433 states/eV per atom
Energy ... -35.149 eV/atom
Calculated volume ... 97.7 Å³/cell

Cell: 4.872 4.872 4.115 Å, 90.00 90.00 90.00°
Space group P4/mmm (No. 123)
Symmetry-distinct sites (fractional):
Mn: 0.000 0.000 0.000 [1 per cell]
Cr: 0.000 0.000 0.500 [1 per cell]
Au: 0.000 0.500 0.500 [2 per cell]
N: 0.500 0.500 0.000 [1 per cell]